Compound: LaPr2Cu
Source: the Alexandria database
Functional: GGA-PBE
Structure: relaxed

Unit cell a=10.4886 b=10.4886 c=10.4886 alpha=20.79 beta=20.79 gamma=20.79
Closest atoms and distances in Å follow each position.
Element x y z (fractional)
La 0.0000 0.0000 0.0000  6 La 3.78, 6 Pr 3.79-3.80
Pr 0.2325 0.2325 0.2325  3 Cu 2.98
Pr 0.4338 0.4338 0.4338  3 Cu 2.99
Cu 0.8333 0.8333 0.8333  6 Pr 2.98-2.99

Computed properties:
SG	R3m, No. 160
uncorrected energy	-18.30	eV/f.u.
crystal system	trigonal

***

Compound: LaPrCu
Source: the Alexandria database
Functional: GGA-PBE
Structure: relaxed

Unit cell a=5.0556 b=5.0556 c=5.0556 alpha=60.00 beta=60.00 gamma=60.00
Closest atoms and distances in Å follow each position.
Element x y z (fractional)
La 0.0000 0.0000 0.0000  4 Cu 3.10
Pr 0.5000 0.5000 0.5000  4 Cu 3.10
Cu 0.2500 0.2500 0.2500  4 Pr 3.10, 4 La 3.10

Computed properties:
SG	F-43m, No. 216
uncorrected energy	-13.46	eV/f.u.
crystal system	cubic

***

| no. | N(E_F) (states/eV per atom) |
| --- | --- |
| 1 | 1.344 |
| 2 | 1.666 |